A plane-wave DFT calculation with PBE was carried out for an optimized crystal structure of Pm2PrNd2Y6.

a = 6.7363 Å, b = 6.7363 Å, c = 10.6718 Å
α = 90.00°, β = 90.00°, γ = 129.27°
Closest atoms and distances in Å follow each position.
Element x y z (fractional)
Pm 0.2069 0.7931 0.0000  2 Pm 3.07, 2 Y 3.36
Pm 0.7931 0.2069 0.0000  2 Pm 3.07, 2 Y 3.36
Pr 0.5000 0.5000 0.0000  6 Pm 3.57-3.83, 8 Y 3.64-3.66
Nd 0.1323 0.8677 0.5000  1 Nd 3.22, 4 Y 3.41-3.51
Nd 0.8677 0.1323 0.5000  1 Nd 3.22, 4 Y 3.41-3.51
Y 0.0000 0.0000 0.2081  2 Pm 3.36, 2 Nd 3.51, 4 Y 3.55, 2 Pr 3.64
Y 0.0000 0.0000 0.7919  2 Pm 3.36, 2 Nd 3.51, 4 Y 3.55, 2 Pr 3.64
Y 0.3482 0.6518 0.2966  3 Nd 3.41-3.62, 5 Y 3.55-3.75, 1 Pm 3.60, 1 Pr 3.66
Y 0.3482 0.6518 0.7034  3 Nd 3.41-3.62, 5 Y 3.55-3.75, 1 Pm 3.60, 1 Pr 3.66
Y 0.6518 0.3482 0.2966  3 Nd 3.41-3.62, 5 Y 3.55-3.75, 1 Pm 3.60, 1 Pr 3.66
Y 0.6518 0.3482 0.7034  3 Nd 3.41-3.62, 5 Y 3.55-3.75, 1 Pm 3.60, 1 Pr 3.66

Output
- DOS(E_F) (states/eV per atom) = 1.58
- formation enthalpy at 0 K (eV/atom) = 0.146
- symmetry = No. 65
- V (Å³/cell) = 374.92
- E (eV per cell) = -61.00